# 1
# NaBi5Pb4

A relaxed NaBi5Pb4 crystal (GGA-PBE, Alexandria via LeMat-Bulk).

```
10
Lattice="3.5466 0.0000 0.0000 0.0000 3.5465 0.0000 0.0000 0.0000 25.1330" Properties=species:S:1:pos:R:3 pbc="T T T"
Pb 0.0000 0.0000 15.1289
Pb 0.0000 0.0000 20.2837
Pb 0.0000 0.0000 4.8493
Pb 0.0000 0.0000 10.0040
Bi 1.7733 1.7732 22.7681
Bi 1.7733 1.7732 17.7101
Bi 1.7733 1.7732 7.4229
Bi 1.7733 1.7732 2.3649
Bi 1.7733 1.7732 12.5665
Na 0.0000 0.0000 0.0000
```

Properties
Fermi-level density of states: 0.328 states/eV/atom
Magnetization: 0.0 μB/f.u.
Energy of formation from the pure elements: -0.018 eV per atom

***

# 2
# Na2Bi4Pb

A relaxed Na2Bi4Pb crystal (GGA-PBE, Alexandria via LeMat-Bulk).

```
7
Lattice="-3.0352 0.5481 5.9412 -4.1566 -5.1243 2.0217 3.9010 -0.2400 5.6874" Properties=species:S:1:pos:R:3 pbc="T T T"
Bi 1.8209 -2.7981 6.7014
Bi -3.5980 -2.2895 3.9842
Bi -1.0803 0.4257 8.7829
Bi -3.7237 -4.9701 7.8322
Na -0.1284 -2.6825 3.8543
Na -1.6457 -2.4083 6.8250
Pb -4.1560 -5.1239 2.0219
```

Properties
Fermi-level density of states: 0.402 states/eV/atom
Magnetization: 0.0 μB/f.u.
Energy of formation from the pure elements: -0.134 eV per atom

***

# 3
# Na3Bi3Pb

A relaxed Na3Bi3Pb crystal (GGA-PBE, Alexandria via LeMat-Bulk).

```
14
Lattice="-4.3044 0.4764 3.7781 -6.3227 0.2699 -7.2374 2.4889 -8.4284 3.8984" Properties=species:S:1:pos:R:3 pbc="T T T"
Na -1.3699 -3.5798 1.0762
Na -2.6469 -6.2734 -0.0390
Na -7.5843 -1.3038 -1.9197
Na -0.5538 -6.3783 2.3588
Na -5.4912 -1.4087 0.4782
Na -6.7682 -4.1023 -0.6371
Bi -4.7420 -5.9504 -2.4667
Bi -2.3541 -0.8786 -0.3857
Bi -3.3961 -1.7317 2.9058
Bi -5.7840 -6.8035 0.8249
Bi -1.8477 -6.9815 5.3319
Bi -6.2904 -0.7006 -4.8927
Pb -4.4632 -2.5090 -2.5830
Pb -3.6749 -5.1731 3.0221
```

Properties
Fermi-level density of states: 0.312 states/eV/atom
Magnetization: 0.0 μB/f.u.
Energy of formation from the pure elements: -0.064 eV per atom

***

# 4
# Na2Bi3Pb

A relaxed Na2Bi3Pb crystal (GGA-PBE, Alexandria via LeMat-Bulk).

```
12
Lattice="-1.2360 6.4406 1.2075 -4.9447 -2.4742 3.7276 6.4821 -1.0439 5.8468" Properties=species:S:1:pos:R:3 pbc="T T T"
Bi 1.3632 -0.2717 4.4583
Bi -1.0618 3.1942 6.3236
Bi 2.1381 2.0822 6.6034
Bi -1.2371 1.7904 1.0996
Bi 1.5385 1.1321 9.6823
Bi -1.8367 0.8403 4.1786
Na -2.1396 4.5274 3.2070
Na 2.4410 -1.6049 7.5750
Na -0.7119 -0.3533 7.3625
Na 1.0133 3.2758 3.4194
Pb -3.0611 -2.1027 5.0105
Pb 3.3625 5.0252 5.7714
```

Properties
Offset from the most stable computed form: 0.005 eV/atom
Fermi-level density of states: 0.466 states/eV/atom
Magnetization: 0.0 μB/f.u.
Energy of formation from the pure elements: -0.166 eV per atom

***

# 5
# Na3Bi2Pb

A relaxed Na3Bi2Pb crystal (GGA-PBE, Alexandria via LeMat-Bulk).

```
6
Lattice="4.9156 0.0000 0.0000 0.0000 4.5943 -1.5534 0.0000 0.0422 7.6955" Properties=species:S:1:pos:R:3 pbc="T T T"
Na 2.4578 0.7907 2.3386
Na 2.4578 2.2971 -0.7767
Na 2.4578 3.8458 3.8035
Pb 0.0000 0.0000 0.0000
Bi 0.0000 1.5670 4.6344
Bi 0.0000 3.0695 1.5077
```

Properties
Fermi-level density of states: 0.480 states/eV/atom
Magnetization: 0.0 μB/f.u.
Energy of formation from the pure elements: -0.250 eV per atom

***

# 6
# Na5Bi4Pb4

A relaxed Na5Bi4Pb4 crystal (GGA-PBE, Alexandria via LeMat-Bulk).

```
13
Lattice="4.8241 0.0000 1.2265 2.4121 9.3305 0.6133 0.1129 0.0000 9.6561" Properties=species:S:1:pos:R:3 pbc="T T T"
Bi 0.8012 1.5782 6.9490
Bi 2.9138 6.5373 8.7398
Bi 6.5479 7.7523 4.5469
Bi 4.4352 2.7932 2.7561
Pb 3.6313 2.8892 5.9178
Pb 1.7001 4.4900 3.4134
Pb 5.6490 4.8405 8.0825
Pb 3.7177 6.4413 5.5781
Na 1.6392 0.7480 3.6528
Na 0.0000 0.0000 0.0000
Na 4.6398 6.1942 1.9514
Na 2.7093 3.1363 9.5445
Na 5.7098 8.5825 7.8430
```

Properties
Fermi-level density of states: 0.420 states/eV/atom
Magnetization: 0.0 μB/f.u.
Energy of formation from the pure elements: -0.177 eV per atom